A plane-wave DFT calculation with PBE was carried out for a geometry-optimized PuTiPd structure.

Structure (CIF):
```
data_PuTiPd
_chemical_formula_sum 'Pu1 Ti1 Pd1'
_cell_length_a 4.6758
_cell_length_b 4.6758
_cell_length_c 2.9023
_cell_angle_alpha 90.00
_cell_angle_beta 90.00
_cell_angle_gamma 120.00
_space_group_name_H-M_alt 'P 1'
_space_group_IT_number 1
loop_
_space_group_symop_operation_xyz
'x,y,z'
loop_
_atom_site_label
_atom_site_type_symbol
_atom_site_fract_x
_atom_site_fract_y
_atom_site_fract_z
_atom_site_occupancy
Pu1 Pu 0.0000 0.0000 0.0000 1
Ti1 Ti 0.3333 0.6667 0.7450 1
Pd1 Pd 0.6667 0.3333 0.3576 1
```

Computed properties:
- Symmetry: P3m1 (156)
- ΔE_f: -0.36 eV/f.u.

A plane-wave DFT calculation with PBE was carried out for a geometry-optimized La4TbTl2 structure.

Structure (CIF):
```
data_La4TbTl2
_chemical_formula_sum 'La4 Tb1 Tl2'
_cell_length_a 6.9641
_cell_length_b 6.9641
_cell_length_c 5.0210
_cell_angle_alpha 90.00
_cell_angle_beta 90.00
_cell_angle_gamma 99.59
_space_group_name_H-M_alt 'P 1'
_space_group_IT_number 1
loop_
_space_group_symop_operation_xyz
'x,y,z'
loop_
_atom_site_label
_atom_site_type_symbol
_atom_site_fract_x
_atom_site_fract_y
_atom_site_fract_z
_atom_site_occupancy
La1 La 0.0000 0.5000 0.5000 1
La2 La 0.2065 0.2065 0.0000 1
La3 La 0.5000 0.0000 0.5000 1
La4 La 0.7935 0.7935 0.0000 1
Tb1 Tb 0.5000 0.5000 0.5000 1
Tl1 Tl 0.2876 0.7124 0.0000 1
Tl2 Tl 0.7124 0.2876 0.0000 1
```

Computed properties:
- Symmetry: Cmmm (65)
- ΔE_f: -1.23 eV/f.u.
- Excess energy over the best structure of this formula in the dataset: 0.0 kJ/mol of formula units

A plane-wave DFT calculation with PBE was carried out for a geometry-optimized CaFe2Si2 structure.

Structure (CIF):
```
data_CaFe2Si2
_chemical_formula_sum 'Ca1 Fe2 Si2'
_cell_length_a 5.7040
_cell_length_b 5.7040
_cell_length_c 5.7040
_cell_angle_alpha 139.75
_cell_angle_beta 139.75
_cell_angle_gamma 58.23
_space_group_name_H-M_alt 'P 1'
_space_group_IT_number 1
loop_
_space_group_symop_operation_xyz
'x,y,z'
loop_
_atom_site_label
_atom_site_type_symbol
_atom_site_fract_x
_atom_site_fract_y
_atom_site_fract_z
_atom_site_occupancy
Ca1 Ca 0.0000 0.0000 0.0000 1
Fe1 Fe 0.2500 0.7500 0.5000 1
Fe2 Fe 0.7500 0.2500 0.5000 1
Si1 Si 0.3680 0.3680 0.0000 1
Si2 Si 0.6320 0.6320 0.0000 1
```

Computed properties:
- Symmetry: I4/mmm (139)
- Formation energy without anion corrections: -0.45 eV per atom

A plane-wave DFT calculation with PBE was carried out for a geometry-optimized K2PaTcO8 structure.

Structure (CIF):
```
data_K2PaTcO8
_chemical_formula_sum 'K2 Pa1 Tc1 O8'
_cell_length_a 5.6797
_cell_length_b 6.5893
_cell_length_c 5.7123
_cell_angle_alpha 90.00
_cell_angle_beta 91.37
_cell_angle_gamma 90.00
_space_group_name_H-M_alt 'P 1'
_space_group_IT_number 1
loop_
_space_group_symop_operation_xyz
'x,y,z'
loop_
_atom_site_label
_atom_site_type_symbol
_atom_site_fract_x
_atom_site_fract_y
_atom_site_fract_z
_atom_site_occupancy
K1 K 0.0000 0.2407 0.0000 1
K2 K 0.0000 0.7593 0.0000 1
Pa1 Pa 0.5000 0.5000 0.5000 1
Tc1 Tc 0.5000 0.0000 0.5000 1
O1 O 0.2597 0.5000 0.2591 1
O2 O 0.2736 0.0000 0.2729 1
O3 O 0.3405 0.2248 0.6572 1
O4 O 0.3405 0.7752 0.6572 1
O5 O 0.6595 0.2248 0.3428 1
O6 O 0.6595 0.7752 0.3428 1
O7 O 0.7264 0.0000 0.7271 1
O8 O 0.7403 0.5000 0.7409 1
```

Computed properties:
- Symmetry: P2/m (10)
- Formation energy without anion corrections: -1.77 eV per atom

A plane-wave DFT calculation with PBE was carried out for a geometry-optimized Cs3AgH4 structure.

Structure (CIF):
```
data_Cs3AgH4
_chemical_formula_sum 'Cs3 Ag1 H4'
_cell_length_a 6.5829
_cell_length_b 6.5829
_cell_length_c 6.5829
_cell_angle_alpha 120.77
_cell_angle_beta 91.94
_cell_angle_gamma 117.03
_space_group_name_H-M_alt 'P 1'
_space_group_IT_number 1
loop_
_space_group_symop_operation_xyz
'x,y,z'
loop_
_atom_site_label
_atom_site_type_symbol
_atom_site_fract_x
_atom_site_fract_y
_atom_site_fract_z
_atom_site_occupancy
Cs1 Cs 0.0000 0.0000 0.0000 1
Cs2 Cs 0.2862 0.5266 0.7596 1
Cs3 Cs 0.7670 0.5266 0.2404 1
Ag1 Ag 0.4824 0.9824 0.5000 1
H1 H 0.3132 0.0382 0.7249 1
H2 H 0.3132 0.5883 0.2751 1
H3 H 0.4376 0.1120 0.3256 1
H4 H 0.7865 0.1120 0.6744 1
```

Computed properties:
- Symmetry: Imm2 (44)
- Uncorrected energy: -2.448 eV per atom

A plane-wave DFT calculation with PBE was carried out for a geometry-optimized LiZrZn structure.

Structure (CIF):
```
data_LiZrZn
_chemical_formula_sum 'Li1 Zr1 Zn1'
_cell_length_a 2.9318
_cell_length_b 2.9318
_cell_length_c 7.6586
_cell_angle_alpha 90.00
_cell_angle_beta 90.00
_cell_angle_gamma 120.00
_space_group_name_H-M_alt 'P 1'
_space_group_IT_number 1
loop_
_space_group_symop_operation_xyz
'x,y,z'
loop_
_atom_site_label
_atom_site_type_symbol
_atom_site_fract_x
_atom_site_fract_y
_atom_site_fract_z
_atom_site_occupancy
Li1 Li 0.0000 0.0000 0.0000 1
Zr1 Zr 0.3333 0.6667 0.6295 1
Zn1 Zn 0.6667 0.3333 0.3026 1
```

Computed properties:
- Symmetry: P3m1 (156)
- ΔE_f: 0.16 eV/f.u.
- Excess energy over the best structure of this formula in the dataset: 54.4 kJ/mol of formula units

A plane-wave DFT calculation with PBE was carried out for a geometry-optimized Li2TbPm2Sn2 structure.

Structure (CIF):
```
data_Li2TbPm2Sn2
_chemical_formula_sum 'Li2 Tb1 Pm2 Sn2'
_cell_length_a 9.5218
_cell_length_b 9.5218
_cell_length_c 9.5218
_cell_angle_alpha 29.19
_cell_angle_beta 29.19
_cell_angle_gamma 29.19
_space_group_name_H-M_alt 'P 1'
_space_group_IT_number 1
loop_
_space_group_symop_operation_xyz
'x,y,z'
loop_
_atom_site_label
_atom_site_type_symbol
_atom_site_fract_x
_atom_site_fract_y
_atom_site_fract_z
_atom_site_occupancy
Li1 Li 0.1034 0.1034 0.1034 1
Li2 Li 0.8966 0.8966 0.8966 1
Tb1 Tb 0.5000 0.5000 0.5000 1
Pm1 Pm 0.3718 0.3718 0.3718 1
Pm2 Pm 0.6282 0.6282 0.6282 1
Sn1 Sn 0.2340 0.2340 0.2340 1
Sn2 Sn 0.7660 0.7660 0.7660 1
```

Computed properties:
- Symmetry: R-3m (166)
- ΔE_f: -3.26 eV/f.u.

A plane-wave DFT calculation with PBE was carried out for a geometry-optimized Ho3Zr2Cu3 structure.

Structure (CIF):
```
data_Ho3Zr2Cu3
_chemical_formula_sum 'Ho3 Zr2 Cu3'
_cell_length_a 10.6621
_cell_length_b 10.6621
_cell_length_c 10.6621
_cell_angle_alpha 161.82
_cell_angle_beta 153.14
_cell_angle_gamma 32.63
_space_group_name_H-M_alt 'P 1'
_space_group_IT_number 1
loop_
_space_group_symop_operation_xyz
'x,y,z'
loop_
_atom_site_label
_atom_site_type_symbol
_atom_site_fract_x
_atom_site_fract_y
_atom_site_fract_z
_atom_site_occupancy
Ho1 Ho 0.0000 0.0000 0.0000 1
Ho2 Ho 0.3789 0.8789 0.5000 1
Ho3 Ho 0.6211 0.1211 0.5000 1
Zr1 Zr 0.2310 0.2310 0.0000 1
Zr2 Zr 0.7690 0.7690 0.0000 1
Cu1 Cu 0.1207 0.6207 0.5000 1
Cu2 Cu 0.5000 0.5000 0.0000 1
Cu3 Cu 0.8793 0.3793 0.5000 1
```

Computed properties:
- Symmetry: Immm (71)
- ΔE_f: -1.29 eV/f.u.

Number 1: magnetic moment 1.765 μB/atom, DOS(E_F) 4.709 states/eV/f.u., mass density 12.036 g/cm³. Number 2: magnetic moment 0.000 μB/atom, DOS(E_F) 9.018 states/eV/f.u., mass density 7.769 g/cm³. Number 3: magnetic moment 0.272 μB/atom, DOS(E_F) 4.541 states/eV/f.u., mass density 4.498 g/cm³. Number 4: magnetic moment 0.000 μB/atom, DOS(E_F) 6.942 states/eV/f.u., mass density 4.158 g/cm³. Number 5: magnetic moment 0.000 μB/atom, DOS(E_F) 0.000 states/eV/f.u., mass density 4.143 g/cm³. Number 6: magnetic moment 0.000 μB/atom, DOS(E_F) 1.357 states/eV/f.u., mass density 4.765 g/cm³. Number 7: magnetic moment 0.000 μB/atom, DOS(E_F) 4.578 states/eV/f.u., mass density 6.401 g/cm³. Number 8: magnetic moment 0.000 μB/atom, DOS(E_F) 6.758 states/eV/f.u., mass density 8.441 g/cm³.